VASP calculation (PBE) on an optimized crystal structure of LiCuNiSe3.

Lattice parameters (Å, degrees): 6.284 6.284 9.654 90.00 90.00 32.83
Fractional positions:
Cu 0.447 0.447 0.250
Cu 0.553 0.553 0.750
Li 0.762 0.762 0.250
Li 0.238 0.238 0.750
Ni 0.000 0.000 0.000
Ni 0.000 0.000 0.500
Se 0.363 0.363 0.030
Se 0.081 0.081 0.250
Se 0.363 0.363 0.470
Se 0.637 0.637 0.530
Se 0.919 0.919 0.750
Se 0.637 0.637 0.970

E_tot, eV per atom: -3.9577
Mass density, g/cm³: 5.9
Space-group type: Cmcm, No. 63